# Rb3Zn2Ag4

Crystalline Rb3Zn2Ag4 at its relaxed geometry (PBE-GGA, Alexandria).

Values from the calculation:
**Electronic total energy**: -33.26 eV per cell
**Calculated volume**: 559.7 Å³/cell

a = 12.8362 Å, b = 4.7830 Å, c = 9.5879 Å
α = 90.00°, β = 108.03°, γ = 90.00°
With the nearest neighbours (Å) after each atom.
Space group C2/m (No. 12)
Unique sites:
Rb1 0.0000 0.0000 0.0000 x2  2 Ag 3.47
Rb2 0.1266 0.5000 0.3767 x4  6 Ag 3.61-3.72, 2 Zn 3.67-3.77
Zn1 0.1727 0.5000 0.7848 x4  5 Ag 2.73-2.82
Ag1 0.0873 0.0000 0.6383 x4  2 Ag 2.80-2.89, 2 Zn 2.82
Ag2 0.2447 0.0000 0.9165 x4  3 Zn 2.73, 3 Ag 2.80-2.86